VASP calculation (GGA+U) on an optimized crystal structure of Ga2MoPtO.

a = 4.683 Å, b = 5.508 Å, c = 4.683 Å
α = 90.00°, β = 90.00°, γ = 90.00°
Site moments in Bohr magnetons follow the coordinates.
Element x y z (fractional)
1 Ga 0.500 0.000 0.000  -0.01
2 Pt 0.000 0.000 0.000  0.05
3 Mo 0.000 0.500 0.000  3.79
4 O 0.500 0.500 0.500  -0.55
5 Ga 0.000 0.000 0.500  -0.04

Properties
Spin magnetization, μB/f.u.: 3.72
E, eV/atom: -4.324
D(E_F), states/eV/cell: 2.64